# 1
VASP calculation (PBE-GGA) on an optimized crystal structure of NbCr2InMo.

Calculated values
- calculated formation energy (eV per atom) = 1.474
- total DFT energy (no corrections) (eV for the cell shown) = -35.51

Lattice parameters (Å, degrees): 4.706 4.706 4.820 90.00 90.00 90.00
Fractional coordinates of all 5 atoms:
Nb1 0.000 0.000 0.000
Cr1 0.000 0.500 0.000
Cr2 0.500 0.000 0.000
In1 0.500 0.500 0.500
Mo1 0.000 0.000 0.500

# 2
VASP calculation (PBE-GGA) on an optimized crystal structure of Sm2HoS3.

Calculated values
- raw formation energy (kJ/mol of formula units) = -1160
- E above lowest polymorph (kcal/mol of atoms) = 0.07
- total DFT energy (no corrections) (eV for the cell shown) = -38.42

Lattice parameters (Å, degrees): 6.874 6.874 6.874 146.43 131.84 59.98
Fractional coordinates of all 6 atoms:
Sm1 0.170 0.170 0.000
Sm2 0.830 0.830 0.000
Ho1 0.500 0.500 0.000
S1 0.000 0.500 0.500
S2 0.340 0.840 0.500
S3 0.660 0.160 0.500

# 3
VASP calculation (PBE-GGA) on an optimized crystal structure of Hf12CrSb6.

Calculated values
- raw formation energy (kJ/mol of formula units) = -82
- total DFT energy (no corrections) (eV for the cell shown) = -154.64

Lattice parameters (Å, degrees): 7.877 7.877 7.877 101.13 101.13 101.13
Fractional coordinates of all 19 atoms:
Hf1 0.005 0.316 0.054
Hf2 0.054 0.005 0.316
Hf3 0.212 0.402 0.518
Hf4 0.316 0.054 0.005
Hf5 0.402 0.518 0.212
Hf6 0.482 0.788 0.598
Hf7 0.518 0.212 0.402
Hf8 0.598 0.482 0.788
Hf9 0.684 0.946 0.995
Hf10 0.788 0.598 0.482
Hf11 0.946 0.995 0.684
Hf12 0.995 0.684 0.946
Cr1 0.000 0.000 0.000
Sb1 0.109 0.659 0.334
Sb2 0.334 0.109 0.659
Sb3 0.341 0.666 0.891
Sb4 0.659 0.334 0.109
Sb5 0.666 0.891 0.341
Sb6 0.891 0.341 0.666

# 4
VASP calculation (PBE-GGA) on an optimized crystal structure of Mg4Au5.

Calculated values
- calculated formation energy (eV per atom) = -0.420
- E above lowest polymorph (kcal/mol of atoms) = 2.21
- total DFT energy (no corrections) (eV for the cell shown) = -26.55

Lattice parameters (Å, degrees): 6.604 6.604 6.604 96.06 96.06 142.08
Fractional coordinates of all 9 atoms:
Mg1 0.000 0.311 0.311
Mg2 0.000 0.689 0.689
Mg3 0.311 0.000 0.311
Mg4 0.689 0.000 0.689
Au1 0.000 0.000 0.000
Au2 0.330 0.330 0.660
Au3 0.330 0.670 0.000
Au4 0.670 0.330 0.000
Au5 0.670 0.670 0.340

# 5
VASP calculation (PBE-GGA) on an optimized crystal structure of YMgCu2.

Calculated values
- calculated formation energy (eV per atom) = -0.048
- total DFT energy (no corrections) (eV for the cell shown) = -32.88

Lattice parameters (Å, degrees): 7.353 7.353 4.866 90.00 90.00 140.98
Fractional coordinates of all 8 atoms:
Y1 0.150 0.850 0.750
Y2 0.850 0.150 0.250
Mg1 0.391 0.609 0.750
Mg2 0.609 0.391 0.250
Cu1 0.046 0.954 0.250
Cu2 0.242 0.758 0.250
Cu3 0.758 0.242 0.750
Cu4 0.954 0.046 0.750

# 6
VASP calculation (PBE-GGA) on an optimized crystal structure of CoPtCl2.

Calculated values
- raw formation energy (kJ/mol of formula units) = 141
- E above lowest polymorph (kcal/mol of atoms) = 10.54
- total DFT energy (no corrections) (eV for the cell shown) = -15.38

Lattice parameters (Å, degrees): 3.183 3.183 8.101 90.00 90.00 124.65
Fractional coordinates of all 4 atoms:
Co1 0.000 0.000 0.000
Pt1 0.000 0.000 0.500
Cl1 0.500 0.500 0.211
Cl2 0.500 0.500 0.789

# 7
VASP calculation (PBE-GGA) on an optimized crystal structure of Rb3CdBi.

Calculated values
- calculated formation energy (eV per atom) = -0.241
- E above lowest polymorph (kcal/mol of atoms) = 0.00
- total DFT energy (no corrections) (eV for the cell shown) = -35.62

Lattice parameters (Å, degrees): 8.585 9.810 12.266 90.00 93.07 90.00
Fractional coordinates of all 20 atoms:
Rb1 0.178 0.175 0.391
Rb2 0.178 0.325 0.891
Rb3 0.217 0.526 0.605
Rb4 0.217 0.974 0.105
Rb5 0.259 0.534 0.167
Rb6 0.259 0.966 0.667
Rb7 0.741 0.034 0.333
Rb8 0.741 0.466 0.833
Rb9 0.783 0.026 0.895
Rb10 0.783 0.474 0.395
Rb11 0.822 0.675 0.109
Rb12 0.822 0.825 0.609
Cd1 0.431 0.733 0.915
Cd2 0.431 0.767 0.415
Cd3 0.569 0.233 0.585
Cd4 0.569 0.267 0.085
Bi1 0.093 0.720 0.870
Bi2 0.093 0.780 0.370
Bi3 0.907 0.220 0.630
Bi4 0.907 0.280 0.130

# 8
VASP calculation (PBE-GGA) on an optimized crystal structure of Tb2Hg3Pd2.

Calculated values
- calculated formation energy (eV per atom) = -0.553
- E above lowest polymorph (kcal/mol of atoms) = 0.68
- total DFT energy (no corrections) (eV for the cell shown) = -24.43

Lattice parameters (Å, degrees): 5.576 5.576 7.676 93.94 93.94 41.93
Fractional coordinates of all 7 atoms:
Tb1 0.118 0.118 0.343
Tb2 0.882 0.882 0.657
Hg1 0.199 0.199 0.858
Hg2 0.500 0.500 0.000
Hg3 0.801 0.801 0.142
Pd1 0.404 0.404 0.371
Pd2 0.596 0.596 0.629

no.,total magnetization (μB per atom)
1,1.0290
2,0.0000
3,0.0000
4,0.0000
5,0.0000
6,0.3852
7,0.0000
8,0.0000